## PrDyNi2As2 (PBE)

Data for a geometry-optimized PrDyNi2As2 structure.

Lattice parameters (Å, degrees): 4.0940 4.0940 7.9644 90.00 90.00 120.00
Closest atoms and distances in Å follow each position.
Element x y z (fractional)
1 Pr 0.0000 0.0000 0.0000  6 Ni 3.14, 6 As 3.15
2 Dy 0.0000 0.0000 0.5000  6 As 3.03, 6 Ni 3.04
3 Ni 0.6667 0.3333 0.2600  3 As 2.36
4 Ni 0.3333 0.6667 0.7400  3 As 2.36
5 As 0.6667 0.3333 0.7386  3 Ni 2.36
6 As 0.3333 0.6667 0.2614  3 Ni 2.36

Calculated values
* calculated density: 8.2 g cm⁻³
* energy of formation: -6.248 eV per formula unit
* space-group type: P-3m1, No. 164

---

## Dy2Ni4As3Pt (PBE)

Data for a geometry-optimized Dy2Ni4As3Pt structure.

Lattice parameters (Å, degrees): 4.0076 4.0076 10.0785 90.00 90.00 90.00
Closest atoms and distances in Å follow each position.
Element x y z (fractional)
1 Dy 0.5000 0.0000 0.2477  8 Ni 3.03-3.20, 6 As 3.08-3.24, 2 Pt 3.24
2 Dy 0.0000 0.5000 0.7523  8 Ni 3.03-3.20, 6 As 3.08-3.24, 2 Pt 3.24
3 Ni 0.5000 0.5000 0.0000  4 As 2.39
4 Ni 0.0000 0.0000 0.0000  4 As 2.39
5 Ni 0.5000 0.0000 0.6462  3 As 2.27-2.49, 2 Pt 2.49
6 Ni 0.0000 0.5000 0.3538  3 As 2.27-2.49, 2 Pt 2.49
7 As 0.0000 0.0000 0.5000  4 Ni 2.49
8 As 0.5000 0.0000 0.8714  5 Ni 2.27-2.39
9 As 0.0000 0.5000 0.1286  5 Ni 2.27-2.39
10 Pt 0.5000 0.5000 0.5000  4 Ni 2.49

Calculated values
* calculated density: 10.0 g cm⁻³
* energy of formation: -7.443 eV per formula unit
* space-group type: P-4m2, No. 115

---

## DyPuNi2As2 (PBE)

Data for a geometry-optimized DyPuNi2As2 structure.

Lattice parameters (Å, degrees): 4.0693 4.0693 7.7551 90.00 90.00 120.00
Closest atoms and distances in Å follow each position.
Element x y z (fractional)
1 Dy 0.0000 0.0000 0.5000  6 As 3.02, 6 Ni 3.05
2 Pu 0.0000 0.0000 0.0000  6 Ni 3.04, 6 As 3.07
3 Ni 0.3333 0.6667 0.7517  3 As 2.35
4 Ni 0.6667 0.3333 0.2483  3 As 2.35
5 As 0.3333 0.6667 0.2545  3 Ni 2.35
6 As 0.6667 0.3333 0.7455  3 Ni 2.35

Calculated values
* calculated density: 10.1 g cm⁻³
* energy of formation: -5.396 eV per formula unit
* space-group type: P-3m1, No. 164

---

## Dy2Ni3As4Rh (PBE)

Data for a geometry-optimized Dy2Ni3As4Rh structure.

Lattice parameters (Å, degrees): 4.1789 4.1789 9.5358 90.00 90.00 90.00
Closest atoms and distances in Å follow each position.
Element x y z (fractional)
1 Dy 0.5000 0.0000 0.2476  8 As 3.15, 7 Ni 3.19-3.49, 2 Rh 3.19
2 Dy 0.0000 0.5000 0.7524  8 As 3.15, 7 Ni 3.19-3.49, 2 Rh 3.19
3 Ni 0.0000 0.0000 0.5000  4 As 2.47
4 Ni 0.5000 0.0000 0.8811  5 As 2.32-2.38
5 Ni 0.0000 0.5000 0.1189  5 As 2.32-2.38
6 As 0.5000 0.5000 0.0000  4 Ni 2.38
7 As 0.0000 0.0000 0.0000  4 Ni 2.38
8 As 0.5000 0.0000 0.6383  3 Ni 2.32-2.47, 2 Rh 2.47
9 As 0.0000 0.5000 0.3617  3 Ni 2.32-2.47, 2 Rh 2.47
10 Rh 0.5000 0.5000 0.5000  4 As 2.47

Calculated values
* calculated density: 9.0 g cm⁻³
* energy of formation: -8.077 eV per formula unit
* space-group type: P-4m2, No. 115

---

## Dy2NiAs4Rh3 (PBE)

Data for a geometry-optimized Dy2NiAs4Rh3 structure.

Lattice parameters (Å, degrees): 4.2150 4.2150 9.9904 90.00 90.00 90.00
Closest atoms and distances in Å follow each position.
Element x y z (fractional)
1 Dy 0.5000 0.0000 0.2560  8 As 3.19-3.31, 2 Ni 3.22, 6 Rh 3.22-3.24
2 Dy 0.0000 0.5000 0.7440  8 As 3.19-3.31, 2 Ni 3.22, 6 Rh 3.22-3.24
3 Ni 0.5000 0.5000 0.5000  4 As 2.48
4 As 0.5000 0.5000 0.0000  4 Rh 2.47
5 As 0.0000 0.0000 0.0000  4 Rh 2.47
6 As 0.5000 0.0000 0.6308  3 Rh 2.41-2.48, 2 Ni 2.48
7 As 0.0000 0.5000 0.3692  3 Rh 2.41-2.48, 2 Ni 2.48
8 Rh 0.0000 0.0000 0.5000  4 As 2.48
9 Rh 0.5000 0.0000 0.8719  5 As 2.41-2.47
10 Rh 0.0000 0.5000 0.1281  5 As 2.41-2.47

Calculated values
* calculated density: 9.3 g cm⁻³
* energy of formation: -8.176 eV per formula unit
* space-group type: P-4m2, No. 115

---

## SmDyNi2As2 (PBE)

Data for a geometry-optimized SmDyNi2As2 structure.

Lattice parameters (Å, degrees): 4.0738 4.0738 7.8547 90.00 90.00 120.00
Closest atoms and distances in Å follow each position.
Element x y z (fractional)
1 Sm 0.0000 0.0000 0.0000  6 As 3.09, 6 Ni 3.09
2 Dy 0.0000 0.0000 0.5000  6 Ni 3.04, 6 As 3.04
3 Ni 0.3333 0.6667 0.7442  3 As 2.35
4 Ni 0.6667 0.3333 0.2558  3 As 2.35
5 As 0.3333 0.6667 0.2556  3 Ni 2.35
6 As 0.6667 0.3333 0.7444  3 Ni 2.35

Calculated values
* calculated density: 8.5 g cm⁻³
* energy of formation: -6.314 eV per formula unit
* space-group type: P-3m1, No. 164